Entry from Alexandria: CaCd7Ag5 after structural relaxation (GGA-PBE).

```
data_CaCd7Ag5
_cell_length_a 5.6545
_cell_length_b 7.6039
_cell_length_c 7.6039
_cell_angle_alpha 81.59
_cell_angle_beta 67.33
_cell_angle_gamma 67.33
_space_group_name_H-M_alt 'P 1'
_space_group_IT_number 1
_space_group_name_Hall 'P 1'
loop_
_atom_site_label
_atom_site_type_symbol
_atom_site_fract_x
_atom_site_fract_y
_atom_site_fract_z
Cd1 Cd 0.6491 0.3448 0.3448
Ag1 Ag 0.4980 0.5021 0.0004
Cd2 Cd 0.3529 0.6520 0.6520
Ag2 Ag 0.4980 0.0004 0.5021
Cd3 Cd 0.5019 0.7921 0.2053
Ag3 Ag 0.9997 0.5015 0.9997
Cd4 Cd 0.2815 0.2172 0.2172
Cd5 Cd 0.9959 0.6584 0.3508
Ag4 Ag 0.9997 0.9997 0.5015
Cd6 Cd 0.9959 0.3508 0.6584
Cd7 Cd 0.5019 0.2053 0.7921
Ag5 Ag 0.7165 0.7835 0.7835
Ca1 Ca 0.0090 0.9921 0.9921
```

Summary:
Space group ... Cm
E_form ... -1.70 eV/f.u.